[1]
YMnTc3: PBEsol geometry, meta-GGA SCAN.

Properties
- total energy (Ha/atom) = -1.091
- ΔE_f (eV/f.u.) = 2.834
- space group = No. 221

extended XYZ file:
```
5
Lattice="4.4298 0.0000 0.0000 0.0000 4.4298 0.0000 0.0000 0.0000 4.4298" Properties=species:S:1:pos:R:3 pbc="T T T"
Y 0.0000 0.0000 0.0000
Mn 2.2149 2.2149 2.2149
Tc 0.0000 2.2149 2.2149
Tc 2.2149 0.0000 2.2149
Tc 2.2149 2.2149 0.0000
```

---

[2]
Y2MnTc: PBEsol geometry, meta-GGA SCAN.

Properties
- total energy (Ha/atom) = -0.994
- E above lowest polymorph (meV/atom) = 217
- ΔE_f (eV/f.u.) = 0.807
- space group = No. 119

extended XYZ file:
```
8
Lattice="4.1240 0.0000 0.0000 0.0000 4.1240 0.0000 0.0000 0.0000 9.3970" Properties=species:S:1:pos:R:3 pbc="T T T"
Y 0.0000 0.0000 0.0000
Y 0.0000 2.0620 2.3492
Y 2.0620 0.0000 7.0477
Y 2.0620 2.0620 4.6985
Mn 0.0000 0.0000 4.6985
Mn 2.0620 2.0620 0.0000
Tc 0.0000 2.0620 7.0477
Tc 2.0620 0.0000 2.3492
```

---

[3]
Y2MnTc: PBEsol geometry, meta-GGA SCAN.

Properties
- total energy (Ha/atom) = -0.993
- E above lowest polymorph (meV/atom) = 257
- ΔE_f (eV/f.u.) = 0.966
- space group = No. 216

extended XYZ file:
```
16
Lattice="6.7624 0.0000 0.0000 0.0000 6.7624 0.0000 0.0000 0.0000 6.7624" Properties=species:S:1:pos:R:3 pbc="T T T"
Y 0.0000 0.0000 0.0000
Y 0.0000 3.3812 3.3812
Y 1.6906 1.6906 1.6906
Y 1.6906 5.0718 5.0718
Y 3.3812 0.0000 3.3812
Y 3.3812 3.3812 0.0000
Y 5.0718 1.6906 5.0718
Y 5.0718 5.0718 1.6906
Mn 1.6906 1.6906 5.0718
Mn 1.6906 5.0718 1.6906
Mn 5.0718 1.6906 1.6906
Mn 5.0718 5.0718 5.0718
Tc 0.0000 0.0000 3.3812
Tc 0.0000 3.3812 0.0000
Tc 3.3812 0.0000 0.0000
Tc 3.3812 3.3812 3.3812
```

---

[4]
Y2MnTc: PBEsol geometry, meta-GGA SCAN.

Properties
- total energy (Ha/atom) = -1.002
- E above lowest polymorph (meV/atom) = 0
- ΔE_f (eV/f.u.) = -0.062
- space group = No. 225

extended XYZ file:
```
16
Lattice="6.8599 0.0000 0.0000 0.0000 6.8599 0.0000 0.0000 0.0000 6.8599" Properties=species:S:1:pos:R:3 pbc="T T T"
Y 1.7150 1.7150 1.7150
Y 1.7150 1.7150 5.1449
Y 1.7150 5.1449 1.7150
Y 1.7150 5.1449 5.1449
Y 5.1449 1.7150 1.7150
Y 5.1449 1.7150 5.1449
Y 5.1449 5.1449 1.7150
Y 5.1449 5.1449 5.1449
Mn 0.0000 0.0000 0.0000
Mn 0.0000 3.4299 3.4299
Mn 3.4299 0.0000 3.4299
Mn 3.4299 3.4299 0.0000
Tc 0.0000 0.0000 3.4299
Tc 0.0000 3.4299 0.0000
Tc 3.4299 0.0000 0.0000
Tc 3.4299 3.4299 3.4299
```